# 1
Computed, not measured: a relaxed Tb3Sm4Pd4 crystal at the GGA-PBE level of DFT.

Lattice parameters (Å, degrees): 3.8608 9.4513 15.9037 90.00 90.00 90.00
Space group Immm (No. 71)
Inequivalent atoms, fractional coordinates:
1 Tb 0.0000 0.0000 0.0000 x2
2 Tb 0.0000 0.5000 0.1101 x4
3 Sm 0.0000 0.3139 0.3407 x8
4 Pd 0.0000 0.0000 0.2444 x4
5 Pd 0.0000 0.1574 0.5000 x4

Calculated values
The formation energy comes out at -0.54 eV per atom.

---

# 2
Computed, not measured: a relaxed TbSm2Pd crystal at the GGA-PBE level of DFT.

Lattice parameters (Å, degrees): 3.6561 3.6561 8.4695 90.00 90.00 90.00
Space group P4/mmm (No. 123)
Inequivalent atoms, fractional coordinates:
1 Tb 0.0000 0.0000 0.0000 x1
2 Sm 0.5000 0.5000 0.2988 x2
3 Pd 0.0000 0.0000 0.5000 x1

Calculated values
The formation energy comes out at -0.35 eV per atom.

---

# 3
Computed, not measured: a relaxed TbSm3Pd12 crystal at the GGA-PBE level of DFT.

Lattice parameters (Å, degrees): 4.1543 4.1543 16.7303 90.00 90.00 90.00
Space group P4/mmm (No. 123)
Inequivalent atoms, fractional coordinates:
1 Tb 0.0000 0.0000 0.0000 x1
2 Sm 0.0000 0.0000 0.2485 x2
3 Sm 0.0000 0.0000 0.5000 x1
4 Pd 0.0000 0.5000 0.1229 x4
5 Pd 0.0000 0.5000 0.3745 x4
6 Pd 0.5000 0.5000 0.0000 x1
7 Pd 0.5000 0.5000 0.2489 x2
8 Pd 0.5000 0.5000 0.5000 x1

Calculated values
The formation energy comes out at -0.82 eV per atom.

---

# 4
Computed, not measured: a relaxed TbSmTcPd crystal at the GGA-PBE level of DFT.

Lattice parameters (Å, degrees): 6.9898 6.9898 6.9898 90.00 90.00 90.00
Space group F-43m (No. 216)
Inequivalent atoms, fractional coordinates:
1 Tb 0.0000 0.0000 0.0000 x4
2 Sm 0.0000 0.0000 0.5000 x4
3 Tc 0.2500 0.2500 0.2500 x4
4 Pd 0.2500 0.2500 0.7500 x4

Calculated values
The formation energy comes out at -0.29 eV per atom.

---

# 5
Computed, not measured: a relaxed TbSmZnPd crystal at the GGA-PBE level of DFT.

Lattice parameters (Å, degrees): 7.1684 7.1684 7.1684 90.00 90.00 90.00
Space group F-43m (No. 216)
Inequivalent atoms, fractional coordinates:
1 Tb 0.0000 0.0000 0.0000 x4
2 Sm 0.0000 0.0000 0.5000 x4
3 Zn 0.2500 0.2500 0.7500 x4
4 Pd 0.2500 0.2500 0.2500 x4

Calculated values
The formation energy comes out at -0.56 eV per atom.

---

# 6
Computed, not measured: a relaxed TbSmZnPd crystal at the GGA-PBE level of DFT.

Lattice parameters (Å, degrees): 3.6037 3.6037 7.0796 90.00 90.00 90.00
Space group P4mm (No. 99)
Inequivalent atoms, fractional coordinates:
1 Tb 0.0000 0.0000 0.0000 x1
2 Sm 0.0000 0.0000 0.5103 x1
3 Zn 0.5000 0.5000 0.2476 x1
4 Pd 0.5000 0.5000 0.7681 x1

Calculated values
The formation energy comes out at -0.59 eV per atom.

---

# 7
Computed, not measured: a relaxed Sm4TcPd crystal at the GGA-PBE level of DFT.

Lattice parameters (Å, degrees): 6.4900 7.8056 8.0003 113.88 107.98 100.82
Space group P-1 (No. 2)
Inequivalent atoms, fractional coordinates:
1 Sm 0.0122 0.2314 0.3653 x2
2 Sm 0.2016 0.2954 0.8474 x2
3 Sm 0.3566 0.6362 0.3674 x2
4 Sm 0.3573 0.9509 0.1537 x2
5 Tc 0.2528 0.0030 0.5062 x2
6 Pd 0.3838 0.6336 0.7691 x2

Calculated values
The formation energy comes out at -0.29 eV per atom.

---

# 8
Computed, not measured: a relaxed Sm8Tc2Pd crystal at the GGA-PBE level of DFT.

Lattice parameters (Å, degrees): 8.5371 13.0121 6.0242 90.00 109.73 90.00
Space group Cm (No. 8)
Inequivalent atoms, fractional coordinates:
1 Sm 0.0000 0.0000 0.0000 x2
2 Sm 0.0848 0.3667 0.8116 x4
3 Sm 0.1659 0.1299 0.6093 x4
4 Sm 0.2360 0.5000 0.3962 x2
5 Sm 0.3818 0.2159 0.2108 x4
6 Tc 0.3606 0.3088 0.6823 x4
7 Pd 0.3665 0.0000 0.0779 x2

Calculated values
The formation energy comes out at -0.08 eV per atom.